# 1
First-principles (GGA-PBE) data for an optimized crystal structure of MgTl2Au, as listed in the Alexandria database.

a b c (Å): 3.5607 3.5607 27.7910
angles (deg): 90.00 90.00 120.00
Space group R3m (No. 160, hexagonal axes)
Symmetry-distinct sites (fractional):
Mg: 0.0000 0.0000 0.0000
Tl: 0.0000 0.0000 0.2447
Tl: 0.0000 0.0000 0.4773
Au: 0.0000 0.0000 0.7299

Calculated values
ΔE_f: -0.11 eV/atom
M_tot: 0.000 μB/atom
crystal system: trigonal

---

# 2
First-principles (GGA-PBE) data for an optimized crystal structure of Rb2ZrAg2S4, as listed in the Alexandria database.

a b c (Å): 14.981 4.001 7.909
angles (deg): 90.00 109.92 90.00
Space group C2/m (No. 12)
Symmetry-distinct sites (fractional):
Rb: 0.136 0.000 0.068
Zr: 0.000 0.000 0.500
Ag: 0.178 0.500 0.479
S: 0.007 0.500 0.279
S: 0.184 0.000 0.686

Calculated values
total DFT energy (no corrections): -4.60 eV per atom
M_tot: 0.000 μB/atom
crystal system: monoclinic